Compound: LaVIO4
Source: Alexandria via LeMat-Bulk
Functional: PBE with a Hubbard U
Structure: optimized geometry

Lattice parameters (Å, degrees): 6.9957 6.9957 7.0530 100.68 100.68 56.78
Last column: nearest neighbours and their distance in Å.
Fractional coordinates of all 14 atoms:
La (0.2040, 0.2040, 0.3264)  6 O 2.34-2.58
La (0.7960, 0.7960, 0.6736)  6 O 2.34-2.58
V (0.1324, 0.1324, 0.7520)  4 O 1.71-1.78
V (0.8676, 0.8676, 0.2480)  4 O 1.71-1.78
I (0.4680, 0.4680, 0.8065)  1 I 2.68
I (0.5320, 0.5320, 0.1935)  1 I 2.68
O (0.0088, 0.0088, 0.2683)  1 V 1.71
O (0.0286, 0.6197, 0.3770)  1 V 1.78
O (0.1982, 0.1982, 0.9925)  1 V 1.72
O (0.3803, 0.9714, 0.6230)  1 V 1.78
O (0.6197, 0.0286, 0.3770)  1 V 1.78
O (0.8018, 0.8018, 0.0075)  1 V 1.72
O (0.9714, 0.3803, 0.6230)  1 V 1.78
O (0.9912, 0.9912, 0.7317)  1 V 1.71

Values from the calculation:
Its calculated density is 4.5 g cm⁻³. The total DFT energy (no corrections) comes out at -7.046 eV/atom.